Density functional theory data (PBE-GGA) for a relaxed structure of Sc2ZnFe.

Size of the total moment: 0.00 μB/f.u.
Calculated total energy: -5.39 eV per atom

Cell: 7.186 7.186 5.793 Å, 51.67 51.67 90.00°
Positions (direct):
1 Sc 0.582 0.125 0.250
2 Sc 0.375 0.418 0.750
3 Sc 0.168 0.625 0.250
4 Sc 0.875 0.832 0.750
5 Fe 0.500 0.500 0.000
6 Fe 0.250 0.750 0.500
7 Zn 0.750 0.250 0.500
8 Zn 0.000 0.000 0.000